Record 1
DFT (PBE) results for a relaxed structure of Al2GePd2.

Structure (CIF):
```
data_Al2GePd2
_chemical_formula_sum 'Al2 Ge1 Pd2'
_symmetry_space_group_name_H-M 'P 1'
_symmetry_Int_Tables_number 1
_symmetry_space_group_name_Hall 'P 1'
_cell_length_a 3.761
_cell_length_b 3.761
_cell_length_c 6.645
_cell_angle_alpha 73.56
_cell_angle_beta 73.56
_cell_angle_gamma 90.00
loop_
_atom_site_label
_atom_site_fract_x
_atom_site_fract_y
_atom_site_fract_z
Pd1 0.613 0.613 0.774
Ge1 0.000 0.000 0.000
Al1 0.250 0.750 0.500
Pd2 0.387 0.387 0.226
Al2 0.750 0.250 0.500
```

Summary:
The value obtained for the size of the total moment is 0.00 μB per formula unit. The space group is I4/mmm. The energy above the lowest structure with this stoichiometry comes out at 15.4 kJ per mole of atoms. The formation energy from the elements comes out at -380 meV/atom.

=====

Record 2
DFT (PBE) results for a relaxed structure of CoTcPt2.

Structure (CIF):
```
data_CoTcPt2
_chemical_formula_sum 'Co1 Tc1 Pt2'
_symmetry_space_group_name_H-M 'P 1'
_symmetry_Int_Tables_number 1
_symmetry_space_group_name_Hall 'P 1'
_cell_length_a 4.773
_cell_length_b 6.031
_cell_length_c 2.696
_cell_angle_alpha 63.55
_cell_angle_beta 89.94
_cell_angle_gamma 120.40
loop_
_atom_site_label
_atom_site_fract_x
_atom_site_fract_y
_atom_site_fract_z
Pt1 0.000 0.000 0.000
Tc1 0.500 0.500 0.000
Co1 0.500 0.000 0.500
Pt2 0.000 0.500 0.500
```

Summary:
The value obtained for the size of the total moment is 2.41 μB per formula unit. The space group is Cmmm. The energy above the lowest structure with this stoichiometry comes out at 5.1 kJ per mole of atoms. The formation energy from the elements comes out at -48 meV/atom.

=====

Record 3
DFT (PBE) results for a relaxed structure of Nd4Ag5Ir2.

Structure (CIF):
```
data_Nd4Ag5Ir2
_chemical_formula_sum 'Nd4 Ag5 Ir2'
_symmetry_space_group_name_H-M 'P 1'
_symmetry_Int_Tables_number 1
_symmetry_space_group_name_Hall 'P 1'
_cell_length_a 3.883
_cell_length_b 7.538
_cell_length_c 9.131
_cell_angle_alpha 94.39
_cell_angle_beta 90.00
_cell_angle_gamma 90.00
loop_
_atom_site_label
_atom_site_fract_x
_atom_site_fract_y
_atom_site_fract_z
Ir1 0.000 0.930 0.355
Ag1 0.000 0.543 0.325
Ag2 0.000 0.500 0.000
Nd1 0.500 0.807 0.144
Nd2 0.500 0.772 0.567
Ir2 0.000 0.070 0.645
Nd3 0.500 0.193 0.856
Ag3 0.000 0.181 0.143
Ag4 0.000 0.819 0.857
Nd4 0.500 0.228 0.433
Ag5 0.000 0.457 0.675
```

Summary:
The value obtained for the size of the total moment is 0.00 μB per formula unit. The space group is P2/m. The formation energy from the elements comes out at -369 meV/atom.

=====

Record 4
DFT (PBE) results for a relaxed structure of Y7Hg2Pd2.

Structure (CIF):
```
data_Y7Hg2Pd2
_chemical_formula_sum 'Y7 Hg2 Pd2'
_symmetry_space_group_name_H-M 'P 1'
_symmetry_Int_Tables_number 1
_symmetry_space_group_name_Hall 'P 1'
_cell_length_a 6.843
_cell_length_b 7.161
_cell_length_c 6.843
_cell_angle_alpha 90.00
_cell_angle_beta 108.36
_cell_angle_gamma 90.00
loop_
_atom_site_label
_atom_site_fract_x
_atom_site_fract_y
_atom_site_fract_z
Y1 0.000 0.742 0.500
Y2 0.500 0.251 0.500
Y3 0.500 0.742 0.000
Y4 0.500 0.749 0.500
Pd1 0.291 0.000 0.709
Y5 0.000 0.000 0.000
Y6 0.500 0.258 0.000
Y7 0.000 0.258 0.500
Pd2 0.709 0.000 0.291
Hg1 0.818 0.500 0.818
Hg2 0.182 0.500 0.182
```

Summary:
The value obtained for the size of the total moment is 0.00 μB per formula unit. The space group is Cmmm. The formation energy from the elements comes out at -345 meV/atom.

=====

Record 5
DFT (PBE) results for a relaxed structure of AgCCl3.

Structure (CIF):
```
data_AgCCl3
_chemical_formula_sum 'Ag1 C1 Cl3'
_symmetry_space_group_name_H-M 'P 1'
_symmetry_Int_Tables_number 1
_symmetry_space_group_name_Hall 'P 1'
_cell_length_a 4.980
_cell_length_b 4.980
_cell_length_c 4.980
_cell_angle_alpha 90.00
_cell_angle_beta 90.00
_cell_angle_gamma 90.00
loop_
_atom_site_label
_atom_site_fract_x
_atom_site_fract_y
_atom_site_fract_z
Cl1 0.000 0.500 0.000
C1 0.500 0.500 0.500
Cl2 0.500 0.000 0.000
Cl3 0.000 0.000 0.500
Ag1 0.000 0.000 0.000
```

Summary:
The value obtained for the size of the total moment is 1.20 μB per formula unit. The space group is Pm-3m. The formation energy (no corrections) is 1.357 eV/atom. The energy above the lowest structure with this stoichiometry comes out at 54.3 kJ per mole of atoms.

=====

Record 6
DFT (PBE) results for a relaxed structure of RbCaTa.

Structure (CIF):
```
data_RbCaTa
_chemical_formula_sum 'Rb2 Ca2 Ta2'
_symmetry_space_group_name_H-M 'P 1'
_symmetry_Int_Tables_number 1
_symmetry_space_group_name_Hall 'P 1'
_cell_length_a 3.970
_cell_length_b 3.970
_cell_length_c 14.661
_cell_angle_alpha 90.00
_cell_angle_beta 90.00
_cell_angle_gamma 90.00
loop_
_atom_site_label
_atom_site_fract_x
_atom_site_fract_y
_atom_site_fract_z
Ta1 0.500 0.000 0.026
Ca1 0.000 0.000 0.500
Ta2 0.000 0.500 0.974
Ca2 0.500 0.500 0.500
Rb1 0.000 0.500 0.228
Rb2 0.500 0.000 0.772
```

Summary:
The value obtained for the size of the total moment is 0.82 μB per formula unit. The space group is P4/nmm. The energy above the lowest structure with this stoichiometry comes out at 86.1 kJ per mole of atoms. The formation energy from the elements comes out at 1290 meV/atom.

=====

Record 7
DFT (PBE) results for a relaxed structure of LiAgI2Cl.

Structure (CIF):
```
data_LiAgI2Cl
_chemical_formula_sum 'Li1 Ag1 I2 Cl1'
_symmetry_space_group_name_H-M 'P 1'
_symmetry_Int_Tables_number 1
_symmetry_space_group_name_Hall 'P 1'
_cell_length_a 6.455
_cell_length_b 4.706
_cell_length_c 6.455
_cell_angle_alpha 90.00
_cell_angle_beta 90.00
_cell_angle_gamma 90.00
loop_
_atom_site_label
_atom_site_fract_x
_atom_site_fract_y
_atom_site_fract_z
I1 0.000 0.000 0.500
Ag1 0.000 0.500 0.000
I2 0.500 0.000 0.000
Cl1 0.000 0.000 0.000
Li1 0.500 0.500 0.500
```

Summary:
The value obtained for the size of the total moment is 0.00 μB per formula unit. The space group is P4/mmm. The formation energy (no corrections) is -0.100 eV/atom.

=====

Record 8
DFT (PBE) results for a relaxed structure of CuTeP.

Structure (CIF):
```
data_CuTeP
_chemical_formula_sum 'Cu2 Te2 P2'
_symmetry_space_group_name_H-M 'P 1'
_symmetry_Int_Tables_number 1
_symmetry_space_group_name_Hall 'P 1'
_cell_length_a 3.983
_cell_length_b 3.983
_cell_length_c 7.495
_cell_angle_alpha 90.00
_cell_angle_beta 90.00
_cell_angle_gamma 90.00
loop_
_atom_site_label
_atom_site_fract_x
_atom_site_fract_y
_atom_site_fract_z
Cu1 0.500 0.500 0.500
P1 0.000 0.500 0.738
Te1 0.500 0.000 0.794
P2 0.500 0.000 0.262
Te2 0.000 0.500 0.206
Cu2 0.000 0.000 0.500
```

Summary:
The value obtained for the size of the total moment is 0.00 μB per formula unit. The space group is P4/nmm. The formation energy (no corrections) is 0.374 eV/atom. The energy above the lowest structure with this stoichiometry comes out at 19.2 kJ per mole of atoms.

=====

Record 9
DFT (PBE) results for a relaxed structure of Li2SmScHg4.

Structure (CIF):
```
data_Li2SmScHg4
_chemical_formula_sum 'Li2 Sm1 Sc1 Hg4'
_symmetry_space_group_name_H-M 'P 1'
_symmetry_Int_Tables_number 1
_symmetry_space_group_name_Hall 'P 1'
_cell_length_a 4.937
_cell_length_b 4.937
_cell_length_c 8.724
_cell_angle_alpha 73.56
_cell_angle_beta 73.56
_cell_angle_gamma 60.00
loop_
_atom_site_label
_atom_site_fract_x
_atom_site_fract_y
_atom_site_fract_z
Sc1 0.500 0.500 0.500
Hg1 0.129 0.129 0.614
Sm1 0.000 0.000 0.000
Hg2 0.871 0.871 0.386
Li1 0.247 0.247 0.260
Hg3 0.382 0.382 0.854
Hg4 0.618 0.618 0.146
Li2 0.753 0.753 0.740
```

Summary:
The value obtained for the size of the total moment is 0.00 μB per formula unit. The space group is R-3m. The formation energy from the elements comes out at -415 meV/atom.

=====

Record 10
DFT (PBE) results for a relaxed structure of PrNdTh2.

Structure (CIF):
```
data_PrNdTh2
_chemical_formula_sum 'Pr1 Nd1 Th2'
_symmetry_space_group_name_H-M 'P 1'
_symmetry_Int_Tables_number 1
_symmetry_space_group_name_Hall 'P 1'
_cell_length_a 3.623
_cell_length_b 3.623
_cell_length_c 10.326
_cell_angle_alpha 90.00
_cell_angle_beta 90.00
_cell_angle_gamma 90.00
loop_
_atom_site_label
_atom_site_fract_x
_atom_site_fract_y
_atom_site_fract_z
Th1 0.500 0.500 0.242
Th2 0.000 0.000 0.009
Nd1 0.000 0.000 0.486
Pr1 0.500 0.500 0.762
```

Summary:
The value obtained for the size of the total moment is 0.00 μB per formula unit. The space group is P4mm. The energy above the lowest structure with this stoichiometry comes out at 0.0 kJ per mole of atoms. The formation energy from the elements comes out at 30 meV/atom.

=====

Record 11
DFT (PBE) results for a relaxed structure of In3Ga12Bi5.

Structure (CIF):
```
data_In3Ga12Bi5
_chemical_formula_sum 'In12 Ga48 Bi20'
_symmetry_space_group_name_H-M 'P 1'
_symmetry_Int_Tables_number 1
_symmetry_space_group_name_Hall 'P 1'
_cell_length_a 14.413
_cell_length_b 14.413
_cell_length_c 14.413
_cell_angle_alpha 109.47
_cell_angle_beta 109.47
_cell_angle_gamma 109.47
loop_
_atom_site_label
_atom_site_fract_x
_atom_site_fract_y
_atom_site_fract_z
In1 0.875 0.125 0.250
Ga1 0.405 0.260 0.334
Bi1 0.875 0.625 0.750
Ga2 0.429 0.074 0.334
Ga3 0.145 0.405 0.071
Ga4 0.240 0.666 0.095
Ga5 0.095 0.929 0.355
Ga6 0.426 0.760 0.855
In2 0.750 0.375 0.125
Ga7 0.334 0.760 0.405
Ga8 0.645 0.074 0.240
In3 0.625 0.375 0.750
Ga9 0.095 0.166 0.240
In4 0.375 0.750 0.625
Ga10 0.145 0.740 0.574
Ga11 0.429 0.355 0.595
Ga12 0.666 0.240 0.595
Bi2 0.000 0.000 0.500
Bi3 0.750 0.125 0.875
Ga13 0.595 0.855 0.429
Ga14 0.260 0.855 0.926
Ga15 0.571 0.645 0.405
Ga16 0.929 0.095 0.855
Ga17 0.166 0.095 0.740
In5 0.625 0.250 0.375
Ga18 0.760 0.426 0.355
Ga19 0.929 0.834 0.574
In6 0.875 0.750 0.125
Ga20 0.355 0.926 0.760
Ga21 0.574 0.240 0.145
Ga22 0.260 0.405 0.834
Ga23 0.855 0.260 0.426
Bi4 0.000 0.000 0.000
Ga24 0.571 0.926 0.666
In7 0.125 0.875 0.750
Ga25 0.740 0.595 0.166
Ga26 0.405 0.145 0.571
In8 0.375 0.625 0.250
Bi5 0.625 0.875 0.250
In9 0.250 0.625 0.875
Ga27 0.760 0.334 0.905
Ga28 0.834 0.905 0.260
Ga29 0.645 0.571 0.905
Bi6 0.000 0.500 0.500
Ga30 0.574 0.334 0.929
Ga31 0.905 0.834 0.760
Ga32 0.355 0.429 0.095
Ga33 0.240 0.574 0.645
Ga34 0.071 0.905 0.145
In10 0.125 0.250 0.875
Bi7 0.000 0.500 0.000
Ga35 0.926 0.571 0.166
Ga36 0.834 0.929 0.074
Ga37 0.074 0.645 0.740
Bi8 0.500 0.000 0.500
Bi9 0.250 0.875 0.125
Ga38 0.071 0.166 0.426
Bi10 0.500 0.000 0.000
In11 0.750 0.875 0.625
Bi11 0.875 0.250 0.625
Ga39 0.855 0.595 0.929
Ga40 0.905 0.071 0.645
Bi12 0.375 0.125 0.750
Bi13 0.125 0.750 0.375
Bi14 0.500 0.500 0.500
Ga41 0.740 0.145 0.074
Bi15 0.750 0.625 0.375
Ga42 0.926 0.355 0.260
Bi16 0.125 0.375 0.250
Ga43 0.426 0.666 0.071
Ga44 0.334 0.574 0.429
Bi17 0.625 0.750 0.875
Bi18 0.500 0.500 0.000
Bi19 0.250 0.375 0.625
Ga45 0.595 0.740 0.666
Ga46 0.074 0.429 0.834
Ga47 0.166 0.071 0.926
Bi20 0.375 0.250 0.125
Ga48 0.666 0.426 0.571
In12 0.250 0.125 0.375
```

Summary:
The value obtained for the size of the total moment is 0.00 μB per formula unit. The space group is Ia-3d. The formation energy from the elements comes out at 156 meV/atom.

=====

Record 12
DFT (PBE) results for a relaxed structure of Sr2MoAu.

Structure (CIF):
```
data_Sr2MoAu
_chemical_formula_sum 'Sr2 Mo1 Au1'
_symmetry_space_group_name_H-M 'P 1'
_symmetry_Int_Tables_number 1
_symmetry_space_group_name_Hall 'P 1'
_cell_length_a 5.321
_cell_length_b 5.321
_cell_length_c 5.321
_cell_angle_alpha 60.00
_cell_angle_beta 60.00
_cell_angle_gamma 60.00
loop_
_atom_site_label
_atom_site_fract_x
_atom_site_fract_y
_atom_site_fract_z
Sr1 0.250 0.250 0.250
Sr2 0.000 0.000 0.000
Mo1 0.750 0.750 0.750
Au1 0.500 0.500 0.500
```

Summary:
The value obtained for the size of the total moment is 3.37 μB per formula unit. The space group is F-43m. The energy above the lowest structure with this stoichiometry comes out at 33.0 kJ per mole of atoms. The formation energy from the elements comes out at 602 meV/atom.

=====

Question: Look up the size of the total moment of the tenth one.
Answer: 0.00 μB per formula unit

=====

Question: What is the size of the total moment in the eleventh record?
Answer: 0.00 μB per formula unit

=====

Question: Look up the size of the total moment of the third one.
Answer: 0.00 μB per formula unit

=====

Question: Which of these has the highest size of the total moment?
Answer: Sr2MoAu